5
Lattice="3.744 0.000 0.000 0.000 3.744 0.000 0.000 0.000 3.744" Properties=species:S:1:pos:R:3 comment="GGA+U VCO3, optimized geometry" space_group=Pm-3m total_magnetization_mub_per_cell=1.00 total_energy_ev_per_atom=-6.04 pbc="T T T"
O 1.872 0.000 0.000
O 0.000 0.000 1.872
O 0.000 1.872 0.000
V 0.000 0.000 0.000
C 1.872 1.872 1.872